Record 1
Material: SmSi3Ir2
Method: DFT, GGA-PBE
State: optimized geometry

The structure belongs to space group C2/m (No. 12); the cell edges are 16.013, 3.995 and 9.577 Å and the angles 90.00°, 103.15° and 90.00°. The distinct sites, in fractional coordinates, are Sm at (0.000, 0.000, 0.000), Sm at (0.152, 0.000, 0.700), Si at (0.000, 0.500, 0.500), Si at (0.048, 0.000, 0.371), Si at (0.140, 0.500, 0.183), Si at (0.143, 0.500, 0.929), Si at (0.223, 0.000, 0.369), Ir at (0.007, 0.500, 0.763), Ir at (0.148, 0.500, 0.440) and Ir at (0.208, 0.000, 0.090).

The calculation puts the electronic total energy at -7.28 eV per atom.

Record 2
Material: LiAc3Re2N6
Method: DFT, GGA-PBE
State: optimized geometry

The structure belongs to space group P-3m1 (No. 164); the cell edges are 5.9627, 5.9627 and 6.8107 Å and the angles 90.00°, 90.00° and 120.00°. The distinct sites, in fractional coordinates, are Li at (0.0000, 0.0000, 0.0000), Ac at (0.0000, 0.0000, 0.5000), Ac at (0.3333, 0.6667, 0.1835), Re at (0.3333, 0.6667, 0.7065) and N at (0.1665, 0.3331, 0.7926).

The calculation puts the electronic total energy at -8.11 eV per atom.

Record 3
Material: PmSm3Sb2
Method: DFT, GGA-PBE
State: optimized geometry

The structure belongs to space group P-4m2 (No. 115); the cell edges are 4.553, 4.553 and 8.749 Å and the angles 90.00°, 90.00° and 90.00°. The distinct sites, in fractional coordinates, are Pm at (0.000, 0.000, 0.000), Sm at (0.000, 0.500, 0.355), Sm at (0.500, 0.500, 0.000) and Sb at (0.000, 0.500, 0.720).

The calculation puts the electronic total energy at -5.34 eV per atom. The calculation puts the energy above the most stable polymorph in this dataset at 0.0 meV per atom.

Record 4
Material: K3Pt4
Method: DFT, GGA-PBE
State: optimized geometry

The structure belongs to space group I4/mmm (No. 139); the cell edges are 3.621, 3.621 and 30.998 Å and the angles 90.00°, 90.00° and 90.00°. The distinct sites, in fractional coordinates, are K at (0.000, 0.000, 0.000), K at (0.000, 0.000, 0.319), Pt at (0.000, 0.000, 0.101) and Pt at (0.000, 0.000, 0.415).

The calculation puts the electronic total energy at -3.91 eV per atom. Its formation energy from the elements is 0.01 eV per atom.